The following is a PBE calculation of crystalline Dy2ZrHg3 at its relaxed geometry, from Alexandria.

Cell lengths 3.677, 3.677, 10.795 Å; angles 90.00, 90.00, 90.00 degrees
Each line ends with the local moment (μB).
Fractional positions:
Hg (0.000, 0.000, 0.000)  0.01
Hg (0.000, 0.000, 0.654)  0.00
Dy (0.500, 0.500, 0.174)  0.05
Zr (0.500, 0.500, 0.500)  0.10
Hg (0.000, 0.000, 0.346)  0.00
Dy (0.500, 0.500, 0.826)  0.05

For the energy, the calculation gives -3.450 eV per atom. The calculated formation energy comes out at -340 meV per atom. Its symmetry is No. 123. The total magnetization comes out at 0.31 μB per formula unit.